## TlCoO3 (GGA+U)

Data for crystalline TlCoO3 at its relaxed geometry.

The structure in POSCAR format:
```
TlCoO3
1.0
2.617 1.511 4.926
-2.617 1.511 4.926
0.000 -3.022 4.926
Tl Co O
2 2 6
direct
0.127 0.127 0.127
0.873 0.873 0.873
0.339 0.339 0.339
0.661 0.661 0.661
0.056 0.470 0.691
0.309 0.944 0.530
0.470 0.691 0.056
0.530 0.309 0.944
0.691 0.056 0.470
0.944 0.530 0.309
```

## Properties
space group = R-3
raw total energy = -5.195 eV per atom